A plane-wave DFT calculation with PBE was carried out for an optimized crystal structure of PrDyAl.

a = 6.8471 Å, b = 6.8384 Å, c = 7.5232 Å
α = 90.00°, β = 102.87°, γ = 90.00°
Space group C2/m (No. 12)
One atom of each set of equivalent atoms:
Pr (0.1814, 0.0000, 0.1959) x4
Dy (0.1800, 0.5000, 0.2489) x4
Al (0.0000, 0.2406, 0.5000) x4

## Properties
**Energy relative to the lowest polymorph listed for this composition**: 0.083 eV/atom
**Total magnetic moment**: 0.00 μB per cell
**ΔE_f**: -0.134 eV/atom
**DOS at the Fermi energy**: 9.6 states/eV/cell
**Calculated total energy**: -0.1657 hartree per atom